# 1
# Rb2NbI6O PBE-GGA relaxed
# - crystal system = tetragonal
data_Rb2NbI6O
_cell_length_a 8.965
_cell_length_b 8.965
_cell_length_c 8.047
_cell_angle_alpha 56.15
_cell_angle_beta 56.15
_cell_angle_gamma 90.00
_space_group_name_H-M_alt 'P 1'
_space_group_IT_number 1
loop_
_space_group_symop_operation_xyz
'x,y,z'
loop_
_atom_site_label
_atom_site_fract_x
_atom_site_fract_y
_atom_site_fract_z
I1 0.280 0.280 0.439
I2 0.720 0.720 0.561
I3 0.225 0.225 0.000
I4 0.775 0.775 0.000
I5 0.775 0.225 0.000
I6 0.225 0.775 0.000
Nb1 0.000 0.000 0.000
O1 0.500 0.500 0.000
Rb1 0.750 0.250 0.500
Rb2 0.250 0.750 0.500

***

# 2
# RbNbI2O PBE-GGA relaxed
# - crystal system = tetragonal
data_RbNbI2O
_cell_length_a 6.376
_cell_length_b 6.376
_cell_length_c 4.161
_cell_angle_alpha 90.00
_cell_angle_beta 90.00
_cell_angle_gamma 90.00
_space_group_name_H-M_alt 'P 1'
_space_group_IT_number 1
loop_
_space_group_symop_operation_xyz
'x,y,z'
loop_
_atom_site_label
_atom_site_fract_x
_atom_site_fract_y
_atom_site_fract_z
I1 0.000 0.500 0.000
I2 0.500 0.000 0.000
Nb1 0.500 0.500 0.500
O1 0.000 0.000 0.500
Rb1 0.000 0.000 0.000

***

# 3
# NbReIO2 PBE-GGA relaxed
# - crystal system = tetragonal
data_NbReIO2
_cell_length_a 3.956
_cell_length_b 3.956
_cell_length_c 6.171
_cell_angle_alpha 90.00
_cell_angle_beta 90.00
_cell_angle_gamma 90.00
_space_group_name_H-M_alt 'P 1'
_space_group_IT_number 1
loop_
_space_group_symop_operation_xyz
'x,y,z'
loop_
_atom_site_label
_atom_site_fract_x
_atom_site_fract_y
_atom_site_fract_z
I1 0.000 0.000 0.500
Re1 0.500 0.500 0.500
Nb1 0.000 0.000 0.000
O1 0.000 0.500 0.000
O2 0.500 0.000 0.000

***

# 4
# NbReIO2 PBE-GGA relaxed
# - crystal system = tetragonal
data_NbReIO2
_cell_length_a 3.874
_cell_length_b 3.874
_cell_length_c 6.412
_cell_angle_alpha 90.00
_cell_angle_beta 90.00
_cell_angle_gamma 90.00
_space_group_name_H-M_alt 'P 1'
_space_group_IT_number 1
loop_
_space_group_symop_operation_xyz
'x,y,z'
loop_
_atom_site_label
_atom_site_fract_x
_atom_site_fract_y
_atom_site_fract_z
I1 0.000 0.000 0.500
Re1 0.000 0.000 0.000
Nb1 0.500 0.500 0.500
O1 0.000 0.500 0.000
O2 0.500 0.000 0.000

***

# 5
# NbRuIO2 PBE-GGA relaxed
# - crystal system = tetragonal
data_NbRuIO2
_cell_length_a 3.926
_cell_length_b 3.926
_cell_length_c 6.119
_cell_angle_alpha 90.00
_cell_angle_beta 90.00
_cell_angle_gamma 90.00
_space_group_name_H-M_alt 'P 1'
_space_group_IT_number 1
loop_
_space_group_symop_operation_xyz
'x,y,z'
loop_
_atom_site_label
_atom_site_fract_x
_atom_site_fract_y
_atom_site_fract_z
I1 0.000 0.000 0.500
Ru1 0.500 0.500 0.500
Nb1 0.000 0.000 0.000
O1 0.000 0.500 0.000
O2 0.500 0.000 0.000

***

# 6
# NbRuI2O PBE-GGA relaxed
# - crystal system = tetragonal
data_NbRuI2O
_cell_length_a 5.533
_cell_length_b 5.533
_cell_length_c 3.714
_cell_angle_alpha 90.00
_cell_angle_beta 90.00
_cell_angle_gamma 90.00
_space_group_name_H-M_alt 'P 1'
_space_group_IT_number 1
loop_
_space_group_symop_operation_xyz
'x,y,z'
loop_
_atom_site_label
_atom_site_fract_x
_atom_site_fract_y
_atom_site_fract_z
I1 0.000 0.500 0.000
I2 0.500 0.000 0.000
Ru1 0.000 0.000 0.000
Nb1 0.500 0.500 0.500
O1 0.000 0.000 0.500

***

| no. | mass density (g cm⁻³) | calculated volume (A^3/atom) | E_form (uncorrected) (eV/atom) |
| --- | --- | --- | --- |
| 1 | 4.34 | 39.84 | -0.63 |
| 2 | 4.40 | 33.84 | 0.87 |
| 3 | 7.53 | 19.31 | -0.11 |
| 4 | 7.56 | 19.25 | 0.02 |
| 5 | 6.21 | 18.86 | -0.59 |
| 6 | 6.77 | 22.74 | 0.33 |